# 1
KErHgTe3 | Alexandria via LeMat-Bulk | PBE-GGA | relaxed; size of the total moment = 0.000 μB per formula unit; energy relative to the elements, uncorrected = -0.934 eV per atom
1.0
9.3596 0.0000 0.0000
0.0000 4.4841 0.0000
-3.2638 0.0000 10.3030
K Er Hg Te
2 2 2 6
Direct
0.2163 0.2500 0.2516
0.7837 0.7500 0.7484
0.3274 0.7500 0.8610
0.6726 0.2500 0.1390
0.0860 0.2500 0.6107
0.9140 0.7500 0.3893
0.0997 0.2500 0.8735
0.2478 0.7500 0.5473
0.4553 0.7500 0.1543
0.5447 0.2500 0.8457
0.7522 0.2500 0.4527
0.9003 0.7500 0.1265

# 2
SiO | Alexandria via LeMat-Bulk | PBE-GGA | relaxed; D(E_F) = 0.0 states/eV/f.u.; size of the total moment = 0.000 μB per formula unit; energy relative to the elements, uncorrected = -1.808 eV per atom
1.0
4.5778 0.0000 0.0000
0.0000 7.0822 0.0000
0.0000 0.0000 8.9334
Si O
8 8
Direct
0.2006 0.1403 0.1763
0.2006 0.8597 0.3237
0.2994 0.1403 0.8237
0.2994 0.8597 0.6763
0.7006 0.3597 0.8237
0.7006 0.6403 0.6763
0.7994 0.3597 0.1763
0.7994 0.6403 0.3237
0.0000 0.2500 0.7647
0.0000 0.7500 0.7353
0.2500 0.0710 0.0000
0.2500 0.9290 0.5000
0.5000 0.2500 0.2353
0.5000 0.7500 0.2647
0.7500 0.4290 0.0000
0.7500 0.5710 0.5000

# 3
ReOs2Pb2 | Alexandria via LeMat-Bulk | PBE-GGA | relaxed; formation energy = 1686 meV per atom; D(E_F) = 5.2 states/eV/f.u.; size of the total moment = 2.801 μB per formula unit
1.0
4.0256 0.0000 0.0000
0.0000 4.0256 0.0000
0.0000 0.0000 12.8888
Re Os Pb
2 4 4
Direct
0.0000 0.0000 0.0000
0.5000 0.5000 0.5000
0.0000 0.0000 0.4085
0.0000 0.0000 0.5915
0.5000 0.5000 0.0915
0.5000 0.5000 0.9085
0.0000 0.5000 0.2500
0.0000 0.5000 0.7500
0.5000 0.0000 0.2500
0.5000 0.0000 0.7500

# 4
ZrTePb3 | Alexandria via LeMat-Bulk | PBE-GGA | relaxed; D(E_F) = 5.1 states/eV/f.u.; ΔE to the lowest computed polymorph = 0.000 eV per atom; size of the total moment = 0.000 μB per formula unit; energy relative to the elements, uncorrected = 0.419 eV per atom
1.0
5.7210 0.0000 0.0000
0.0000 5.7210 0.0000
0.0000 0.0000 5.7210
Zr Te Pb
1 1 3
Direct
0.0000 0.0000 0.0000
0.5000 0.5000 0.5000
0.0000 0.0000 0.5000
0.0000 0.5000 0.0000
0.5000 0.0000 0.0000

# 5
Zr2TaGaGe | Alexandria via LeMat-Bulk | PBE-GGA | relaxed; formation energy = 671 meV per atom; D(E_F) = 2.3 states/eV/f.u.; size of the total moment = 0.000 μB per formula unit
1.0
5.0076 0.0000 0.0000
0.0000 5.0076 0.0000
0.0000 0.0000 4.4875
Zr Ta Ga Ge
2 1 1 1
Direct
0.0000 0.5000 0.0000
0.5000 0.0000 0.0000
0.0000 0.0000 0.5000
0.5000 0.5000 0.5000
0.5000 0.5000 0.0000

# 6
Ca2ErHfBi4 | Alexandria via LeMat-Bulk | PBE-GGA | relaxed; formation energy = -600 meV per atom; D(E_F) = 2.6 states/eV/f.u.; size of the total moment = 0.000 μB per formula unit
1.0
7.6303 0.0000 0.0000
0.0000 4.3768 0.0000
-2.5052 0.0000 7.5608
Ca Er Hf Bi
2 1 1 4
Direct
0.0000 0.0000 0.0000
0.5000 0.5000 0.0000
0.0000 0.5000 0.5000
0.5000 0.0000 0.5000
0.2548 0.0000 0.7335
0.2674 0.5000 0.2723
0.7326 0.5000 0.7277
0.7452 0.0000 0.2665

# 7
Pm6Cd5Ga | Alexandria via LeMat-Bulk | PBE-GGA | relaxed; formation energy = -358 meV per atom; D(E_F) = 15.2 states/eV/f.u.; size of the total moment = 0.002 μB per formula unit
1.0
2.6758 -8.0534 0.0000
2.6758 8.0534 0.0000
0.0000 0.0000 7.6554
Pm Cd Ga
6 5 1
Direct
0.0000 0.0000 0.2376
0.0000 0.0000 0.7624
0.3388 0.6612 0.2438
0.3388 0.6612 0.7562
0.6612 0.3388 0.2438
0.6612 0.3388 0.7562
0.1694 0.8306 0.5000
0.1733 0.8267 0.0000
0.5000 0.5000 0.5000
0.8267 0.1733 0.0000
0.8306 0.1694 0.5000
0.5000 0.5000 0.0000